A plane-wave DFT calculation with GGA-PBE was carried out for crystalline PmIn3Cu3 at its relaxed geometry.

The density of states at the Fermi level is 9.14 states/eV per cell. The final energy is -3.312 eV/atom.

Cell: 7.064 7.064 7.064 Å, 90.00 90.00 90.00°
Fractional coordinates of all 14 atoms:
In1 0.250 0.000 0.500
In2 0.000 0.500 0.250
In3 0.500 0.750 0.000
In4 0.750 0.000 0.500
In5 0.000 0.500 0.750
In6 0.500 0.250 0.000
Cu1 0.000 0.250 0.500
Cu2 0.000 0.750 0.500
Cu3 0.500 0.000 0.750
Cu4 0.750 0.500 0.000
Cu5 0.500 0.000 0.250
Cu6 0.250 0.500 0.000
Pm1 0.500 0.500 0.500
Pm2 0.000 0.000 0.000